Density functional theory data (PBE) for a geometry-optimized CrHCl3 structure.

The space group is Pm-3m (No. 221) and the conventional cell measures 4.389, 4.389 and 4.389 Å, with angles of 90.00, 90.00 and 90.00 degrees. The inequivalent atoms are Cr at (0.000, 0.000, 0.000), H at (0.500, 0.500, 0.500) and Cl at (0.000, 0.500, 0.500).

The uncorrected energy comes out at -0.2474 Ry per atom. Its spin magnetization is 0.80 μB per atom. The energy above the most stable polymorph in this dataset is 0.527 eV/atom.

=====

Density functional theory data (PBE) for a geometry-optimized ZrNbGa4 structure.

The space group is F-43m (No. 216) and the conventional cell measures 7.354, 7.354 and 7.354 Å, with angles of 90.00, 90.00 and 90.00 degrees. The inequivalent atoms are Zr at (0.000, 0.000, 0.000), Nb at (0.250, 0.250, 0.750) and Ga at (0.125, 0.125, 0.375).

The uncorrected energy comes out at -0.3996 Ry per atom. For the calculated formation energy, the calculation gives -0.315 eV/atom. Its spin magnetization is 0.00 μB per atom. The energy above the most stable polymorph in this dataset is 0.000 eV/atom.

=====

Density functional theory data (PBE) for a geometry-optimized CsGaTe2O8 structure.

The space group is P-3 (No. 147) and the conventional cell measures 5.2802, 5.2802 and 9.5026 Å, with angles of 90.00, 90.00 and 120.00 degrees. The inequivalent atoms are Cs at (0.0000, 0.0000, 0.0000), Ga at (0.0000, 0.0000, 0.5000), Te at (0.3333, 0.6667, 0.6827), O at (0.0187, 0.3122, 0.6247) and O at (0.3333, 0.6667, 0.8744).

The uncorrected energy comes out at -0.3908 Ry per atom. Its spin magnetization is 0.00 μB per atom. As for the energy relative to the elements, uncorrected: -1165 meV/atom.

=====

Density functional theory data (PBE) for a geometry-optimized ThCl2F4 structure.

The space group is P-1 (No. 2) and the conventional cell measures 3.984, 4.008 and 10.421 Å, with angles of 79.61, 84.42 and 89.93 degrees. The inequivalent atoms are Th at (0.000, 0.000, 0.000), Cl at (0.018, 0.546, 0.590), F at (0.033, 0.557, 0.878) and F at (0.469, 0.946, 0.122).

The uncorrected energy comes out at -0.4075 Ry per atom. Its spin magnetization is 0.00 μB per atom. As for the energy relative to the elements, uncorrected: -2887 meV/atom.

=====

Density functional theory data (PBE) for a geometry-optimized MgAuF2 structure.

The space group is I-42d (No. 122) and the conventional cell measures 5.905, 5.905 and 8.506 Å, with angles of 90.00, 90.00 and 90.00 degrees. The inequivalent atoms are Mg at (0.000, 0.000, 0.000), Au at (0.000, 0.000, 0.500) and F at (0.073, 0.250, 0.125).

The uncorrected energy comes out at -0.3051 Ry per atom. Its spin magnetization is 0.00 μB per atom. As for the energy relative to the elements, uncorrected: -1998 meV/atom. The energy above the most stable polymorph in this dataset is 0.430 eV/atom.

=====

Density functional theory data (PBE) for a geometry-optimized AgSbTe2 structure.

The space group is I-42d (No. 122) and the conventional cell measures 6.631, 6.631 and 13.865 Å, with angles of 90.00, 90.00 and 90.00 degrees. The inequivalent atoms are Ag at (0.000, 0.000, 0.000), Sb at (0.000, 0.000, 0.500) and Te at (0.227, 0.250, 0.125).

The uncorrected energy comes out at -0.2413 Ry per atom. Its spin magnetization is 0.00 μB per atom. As for the energy relative to the elements, uncorrected: 31 meV/atom.

=====

Density functional theory data (PBE) for a geometry-optimized CeCdCo structure.

The space group is P2_1/m (No. 11) and the conventional cell measures 3.590, 3.799 and 9.114 Å, with angles of 90.00, 101.35 and 90.00 degrees. The inequivalent atoms are Ce at (0.086, 0.250, 0.170), Cd at (0.292, 0.250, 0.584) and Co at (0.443, 0.250, 0.886).

The uncorrected energy comes out at -0.3629 Ry per atom. For the calculated formation energy, the calculation gives -0.286 eV/atom. Its spin magnetization is 0.00 μB per atom.